1 | VASP calculation (GGA-PBE) on Ru2Rh2Au after structural relaxation.

The structure in extended XYZ format:
```
10
Lattice="7.502 0.000 0.000 0.000 7.502 0.000 0.000 0.000 2.758" Properties=species:S:1:pos:R:3 pbc="T T T"
Rh 1.298 5.050 1.379
Rh 5.050 6.204 1.379
Rh 6.204 2.453 1.379
Rh 2.453 1.298 1.379
Au 0.000 0.000 0.000
Au 3.751 3.751 0.000
Ru 2.853 6.604 0.000
Ru 6.604 4.650 0.000
Ru 4.650 0.899 0.000
Ru 0.899 2.853 0.000
```

Fermi-level density of states: 6.855 states/eV/f.u.
Spin magnetization: 0.00 μB per cell

=====

2 | VASP calculation (GGA-PBE) on Ru2Rh2Au after structural relaxation.

The structure in extended XYZ format:
```
10
Lattice="-4.402 -4.071 -4.541 0.438 -5.796 4.772 -2.215 0.921 1.322" Properties=species:S:1:pos:R:3 pbc="T T T"
Rh -1.279 -6.625 2.474
Rh -3.592 -7.180 -1.016
Rh -2.686 -3.242 -2.242
Rh -0.373 -2.687 1.248
Au 0.000 0.000 0.000
Au -1.982 -4.933 0.116
Ru -1.572 -4.138 3.087
Ru -3.705 -7.074 1.558
Ru -4.608 -4.808 -1.533
Ru -2.475 -1.872 -0.005
```

Fermi-level density of states: 7.523 states/eV/f.u.
Spin magnetization: 1.69 μB per cell

=====

Relative energies in kJ/mol of atoms: 1 0.0; 2 2.0